1.
The following is a PBE calculation of a relaxed SmY2Er3 crystal, from Alexandria.

Cell lengths 6.142, 7.098, 9.391 Å; angles 112.20, 89.93, 90.00 degrees
Atoms (fractional coordinates):
Y1 0.916 0.208 0.666
Y2 0.416 0.458 0.666
Y3 0.584 0.542 0.334
Y4 0.084 0.792 0.334
Sm1 0.250 0.875 0.000
Sm2 0.750 0.125 0.000
Er1 0.917 0.708 0.666
Er2 0.583 0.042 0.334
Er3 0.250 0.375 0.000
Er4 0.083 0.292 0.334
Er5 0.417 0.958 0.666
Er6 0.750 0.625 0.000

Calculated values
total DFT energy (no corrections)	-5.20	eV per atom
volume	379.0	Å³ per cell
crystal system	monoclinic
calculated formation energy	0.024	eV per atom
ΔE to the lowest computed polymorph	0	meV per atom


2.
The following is a PBE calculation of a relaxed BeGaF5 crystal, from Alexandria.

Cell lengths 5.186, 5.187, 7.321 Å; angles 110.40, 110.41, 90.52 degrees
Atoms (fractional coordinates):
Be1 0.128 0.372 0.750
Be2 0.872 0.628 0.250
F1 0.752 0.754 0.076
F2 0.804 0.299 0.649
F3 0.248 0.246 0.924
F4 0.746 0.748 0.424
F5 0.799 0.304 0.149
F6 0.421 0.079 0.250
F7 0.254 0.252 0.576
F8 0.579 0.921 0.750
F9 0.201 0.696 0.851
F10 0.196 0.701 0.351
Ga1 0.500 0.000 0.000
Ga2 0.500 0.000 0.500

Calculated values
total DFT energy (no corrections)	-5.19	eV per atom
volume	171.1	Å³ per cell
crystal system	monoclinic
E_form (uncorrected)	-2.89	eV per atom


3.
The following is a PBE calculation of a relaxed Ba2TlPdBr crystal, from Alexandria.

Cell lengths 6.254, 6.254, 5.205 Å; angles 90.00, 90.00, 90.00 degrees
Atoms (fractional coordinates):
Br1 0.500 0.500 0.500
Tl1 0.000 0.000 0.500
Ba1 0.000 0.500 0.000
Ba2 0.500 0.000 0.000
Pd1 0.000 0.000 0.000

Calculated values
total DFT energy (no corrections)	-3.38	eV per atom
volume	203.6	Å³ per cell
crystal system	tetragonal
E_form (uncorrected)	-0.76	eV per atom


4.
The following is a PBE calculation of a relaxed Zn2H6IrRh crystal, from Alexandria.

Cell lengths 4.806, 4.808, 5.247 Å; angles 121.85, 121.86, 75.78 degrees
Atoms (fractional coordinates):
H1 0.379 0.378 0.078
H2 0.213 0.216 0.667
H3 0.714 0.713 0.393
H4 0.742 0.742 0.892
H5 0.808 0.214 0.933
H6 0.213 0.809 0.933
Zn1 0.650 0.190 0.446
Zn2 0.190 0.650 0.445
Ir1 0.540 0.541 0.978
Rh1 0.050 0.051 0.232

Calculated values
total DFT energy (no corrections)	-3.93	eV per atom
volume	87.4	Å³ per cell
crystal system	triclinic


5.
The following is a PBE calculation of a relaxed Co2NiOs crystal, from Alexandria.

Cell lengths 4.403, 4.403, 4.425 Å; angles 80.70, 80.70, 33.76 degrees
Last column: magnetic moment on the atom in μB.
Atoms (fractional coordinates):
Co1 0.747 0.747 0.751  1.04
Co2 0.002 0.002 0.997  1.25
Os1 0.252 0.252 0.246  -0.03
Ni1 0.499 0.499 0.506  0.38

Calculated values
total DFT energy (no corrections)	-7.68	eV per atom
volume	47.0	Å³ per cell
crystal system	monoclinic
calculated formation energy	0.127	eV per atom
ΔE to the lowest computed polymorph	15	meV per atom


6.
The following is a PBE calculation of a relaxed LaHgGeSe2 crystal, from Alexandria.

Cell lengths 5.709, 6.190, 5.709 Å; angles 90.00, 90.00, 90.00 degrees
Atoms (fractional coordinates):
Hg1 0.500 0.500 0.500
Se1 0.000 0.000 0.500
Se2 0.500 0.000 0.000
La1 0.000 0.000 0.000
Ge1 0.000 0.500 0.000

Calculated values
total DFT energy (no corrections)	-3.39	eV per atom
volume	201.7	Å³ per cell
crystal system	tetragonal
E_form (uncorrected)	-0.03	eV per atom


7.
The following is a PBE calculation of a relaxed TaTl2Pb crystal, from Alexandria.

Cell lengths 3.140, 3.140, 10.678 Å; angles 90.00, 90.00, 90.00 degrees
Atoms (fractional coordinates):
Ta1 0.500 0.500 0.762
Pb1 0.000 0.000 0.544
Tl1 0.000 0.000 0.970
Tl2 0.500 0.500 0.224

Calculated values
total DFT energy (no corrections)	-4.67	eV per atom
volume	105.3	Å³ per cell
crystal system	tetragonal
calculated formation energy	0.402	eV per atom
ΔE to the lowest computed polymorph	10	meV per atom


8.
The following is a PBE calculation of a relaxed CsRb8Na3 crystal, from Alexandria.

Cell lengths 5.047, 12.389, 15.428 Å; angles 89.99, 99.41, 90.00 degrees
Atoms (fractional coordinates):
Na1 0.709 0.133 0.418
Na2 0.445 0.425 0.890
Na3 0.644 0.633 0.288
Rb1 0.328 0.168 0.656
Rb2 0.211 0.418 0.422
Rb3 0.415 0.818 0.829
Rb4 0.584 0.314 0.169
Rb5 0.841 0.525 0.682
Rb6 0.966 0.146 0.932
Rb7 0.589 0.939 0.178
Rb8 0.028 0.620 0.057
Cs1 0.238 0.831 0.476

Calculated values
total DFT energy (no corrections)	-1.01	eV per atom
volume	951.6	Å³ per cell
crystal system	monoclinic
calculated formation energy	0.036	eV per atom


9.
The following is a PBE calculation of a relaxed Be2TlBr crystal, from Alexandria.

Cell lengths 7.221, 7.221, 7.221 Å; angles 27.98, 27.98, 27.98 degrees
Atoms (fractional coordinates):
Br1 0.250 0.250 0.250
Be1 0.500 0.500 0.500
Be2 0.000 0.000 0.000
Tl1 0.750 0.750 0.750

Calculated values
total DFT energy (no corrections)	-2.30	eV per atom
volume	73.2	Å³ per cell
crystal system	trigonal
ΔE to the lowest computed polymorph	239	meV per atom
E_form (uncorrected)	0.57	eV per atom


10.
The following is a PBE calculation of a relaxed Mg3RuRh crystal, from Alexandria.

Cell lengths 4.750, 4.750, 4.750 Å; angles 90.00, 90.00, 90.00 degrees
Last column: magnetic moment on the atom in μB.
Atoms (fractional coordinates):
Mg1 0.500 0.000 0.000  -0.01
Mg2 0.000 0.000 0.500  -0.01
Mg3 0.000 0.500 0.000  -0.01
Rh1 0.000 0.000 0.000  0.01
Ru1 0.500 0.500 0.500  1.50

Calculated values
total DFT energy (no corrections)	-3.68	eV per atom
volume	107.2	Å³ per cell
crystal system	cubic
calculated formation energy	0.604	eV per atom
ΔE to the lowest computed polymorph	0	meV per atom


11.
The following is a PBE calculation of a relaxed Gd2AlCr crystal, from Alexandria.

Cell lengths 5.131, 5.131, 5.131 Å; angles 60.00, 60.00, 60.00 degrees
Last column: magnetic moment on the atom in μB.
Atoms (fractional coordinates):
Al1 0.500 0.500 0.500  -0.01
Gd1 0.250 0.250 0.250  -7.07
Gd2 0.750 0.750 0.750  -7.07
Cr1 0.000 0.000 0.000  3.58

Calculated values
total DFT energy (no corrections)	-10.41	eV per atom
volume	95.5	Å³ per cell
crystal system	cubic
calculated formation energy	-0.024	eV per atom


12.
The following is a PBE calculation of a relaxed KFe2Rh crystal, from Alexandria.

Cell lengths 5.990, 5.990, 5.990 Å; angles 153.89, 127.37, 59.68 degrees
Last column: magnetic moment on the atom in μB.
Atoms (fractional coordinates):
K1 0.750 0.250 0.500  -0.02
Fe1 0.043 0.043 0.000  2.96
Fe2 0.457 0.457 0.000  2.96
Rh1 0.250 0.750 0.500  0.58

Calculated values
total DFT energy (no corrections)	-5.47	eV per atom
volume	74.7	Å³ per cell
crystal system	orthorhombic
calculated formation energy	0.874	eV per atom
ΔE to the lowest computed polymorph	348	meV per atom